Here is a relaxed structure of LaTbPtI from Alexandria. Energies are from PBE.

Computed properties:
The value obtained for the formation energy from raw total energies is -4.6 eV per formula unit. For the size of the total moment, the calculation gives 0.000 μB/atom. The calculation puts the theoretical density at 8184 kg/m3.

a = 4.228 Å, b = 4.227 Å, c = 8.484 Å
α = 90.00°, β = 104.43°, γ = 120.00°
Atoms (fractional coordinates):
I 0.962 0.379 0.356
Pt 0.310 0.553 0.878
Tb 0.094 0.945 0.054
La 0.512 0.154 0.681